Record 1
MgZr2Tc GGA-PBE relaxed; D(E_F) = 5.61 states/eV per cell; E = -7.247 eV per atom; formation energy = 0.017 eV/atom; total moment = 0.000 μB/cell
1.0
3.385 0.000 0.000
0.000 3.385 0.000
0.000 0.000 6.942
Mg Zr Tc
1 2 1
direct
0.000 0.000 0.000
0.000 0.000 0.431
0.500 0.500 0.702
0.500 0.500 0.231


Record 2
Mg2ZrTc GGA-PBE relaxed; D(E_F) = 3.23 states/eV per cell; E = -5.425 eV per atom; energy above the lowest structure with this stoichiometry = 2.77 kcal/mol of atoms; formation energy = 0.101 eV/atom; total moment = 0.000 μB/cell
1.0
2.874 0.000 0.000
0.000 4.834 0.000
-1.279 0.000 5.388
Mg Zr Tc
2 1 1
direct
0.085 0.000 0.269
0.915 0.000 0.731
0.500 0.500 0.000
0.500 0.500 0.500


Record 3
MgZrTc GGA-PBE relaxed; D(E_F) = 2.64 states/eV per cell; E = -6.801 eV per atom; energy above the lowest structure with this stoichiometry = 1.34 kcal/mol of atoms; formation energy = 0.035 eV/atom; total moment = 0.000 μB/cell
1.0
4.711 0.000 0.000
-2.355 4.079 0.000
0.000 0.000 2.854
Mg Zr Tc
1 1 1
direct
0.000 0.000 0.000
0.667 0.333 0.583
0.333 0.667 0.302


Record 4
MgZr2Tc GGA-PBE relaxed; D(E_F) = 4.26 states/eV per cell; E = -7.298 eV per atom; formation energy = -0.034 eV/atom; total moment = 0.000 μB/cell
1.0
5.491 -1.710 0.000
5.491 1.710 0.000
-2.033 0.000 4.267
Mg Zr Tc
1 2 1
direct
0.000 0.000 0.000
0.218 0.218 0.717
0.439 0.439 0.439
0.730 0.730 0.228


Record 5
MgZrTc GGA-PBE relaxed; D(E_F) = 4.69 states/eV per cell; E = -6.855 eV per atom; energy above the lowest structure with this stoichiometry = 0.10 kcal/mol of atoms; formation energy = -0.018 eV/atom; total moment = 0.000 μB/cell
1.0
4.613 0.000 0.000
0.001 4.620 0.000
0.106 2.308 5.163
Mg Zr Tc
2 2 2
direct
0.249 0.430 0.138
0.751 0.570 0.862
0.253 0.751 0.496
0.747 0.249 0.504
0.238 0.085 0.828
0.762 0.915 0.172


Record 6
Mg2ZrTc GGA-PBE relaxed; D(E_F) = 3.38 states/eV per cell; E = -5.359 eV per atom; energy above the lowest structure with this stoichiometry = 4.30 kcal/mol of atoms; formation energy = 0.167 eV/atom; total moment = 0.000 μB/cell
1.0
4.834 -1.453 0.000
4.834 1.453 0.000
-0.710 0.000 5.432
Mg Zr Tc
2 1 1
direct
0.000 0.000 0.000
0.243 0.243 0.772
0.762 0.762 0.301
0.509 0.509 0.499


Record 7
Mg2ZrTc GGA-PBE relaxed; D(E_F) = 3.85 states/eV per cell; E = -5.467 eV per atom; energy above the lowest structure with this stoichiometry = 1.82 kcal/mol of atoms; formation energy = 0.059 eV/atom; total moment = 0.000 μB/cell
1.0
1.700 -2.505 0.000
1.700 2.505 0.000
0.000 0.000 9.430
Mg Zr Tc
2 1 1
direct
0.000 0.000 0.000
0.500 0.500 0.278
0.500 0.500 0.717
0.000 0.000 0.506


Record 8
MgZrTc4 GGA-PBE relaxed; D(E_F) = 5.05 states/eV per cell; E = -8.707 eV per atom; formation energy = -0.106 eV/atom; total moment = 0.000 μB/cell
1.0
0.000 3.703 3.703
3.703 0.000 3.703
3.703 3.703 0.000
Mg Zr Tc
1 1 4
direct
0.000 0.000 0.000
0.250 0.250 0.250
0.123 0.626 0.626
0.626 0.123 0.626
0.626 0.626 0.123
0.626 0.626 0.626


no.,V (Å³/cell)
1,79.54
2,74.85
3,54.84
4,80.13
5,110.05
6,76.33
7,80.29
8,101.55